This record from Alexandria describes crystalline TaPt2Au at its relaxed geometry. The functional is PBE-GGA.

```
TaPt2Au
1.0
-0.618 3.297 3.629
2.394 -1.525 4.045
1.450 0.499 -4.698
Au Pt Ta
1 2 1
Direct
0.250 0.750 0.500
0.000 0.000 0.000
0.500 0.500 0.000
0.750 0.250 0.500
```

Energy relative to the lowest polymorph listed for this composition: 0 meV/atom
Symmetry: I4/mmm (139)



This record from Alexandria describes crystalline LiCdRe2 at its relaxed geometry. The functional is PBE-GGA.

```
LiCdRe2
1.0
2.780 0.000 0.000
0.000 3.991 0.000
0.000 0.000 5.812
Cd Li Re
1 1 2
Direct
0.000 0.000 0.526
0.500 0.500 0.743
0.000 0.000 0.029
0.500 0.500 0.202
```

Symmetry: Pmm2 (25)



This record from Alexandria describes crystalline AcDyLuMg at its relaxed geometry. The functional is PBE-GGA.

```
AcDyLuMg
1.0
5.669 0.000 0.000
2.834 4.909 0.000
2.834 1.636 4.628
Ac Lu Mg Dy
1 1 1 1
Direct
0.250 0.250 0.250
0.500 0.500 0.500
0.000 0.000 0.000
0.750 0.750 0.750
```

Symmetry: F-43m (216)



Number 1: total moment 0.00 μB per formula unit, total DFT energy (no corrections) -7.28 eV/atom, formation energy -0.48 eV per atom. Number 2: total moment 0.00 μB per formula unit, total DFT energy (no corrections) -6.64 eV/atom, formation energy 0.29 eV per atom. Number 3: total moment 0.00 μB per formula unit, total DFT energy (no corrections) -3.66 eV/atom, formation energy 0.05 eV per atom.